1.
VASP calculation (GGA-PBE) on a geometry-optimized Y2Sc2Sn structure. Values from VASP.

The structure in Quantum ESPRESSO input format:
```
&SYSTEM
  ibrav = 0, nat = 10, ntyp = 3
/
ATOMIC_SPECIES
Sc 44.96 Sc.upf
Y 88.91 Y.upf
Sn 118.71 Sn.upf
CELL_PARAMETERS angstrom
7.672 0.000 0.000
0.000 7.672 0.000
0.000 0.000 4.673
ATOMIC_POSITIONS crystal
Sc 0.644 0.144 0.000
Sc 0.356 0.856 0.000
Sc 0.144 0.356 0.000
Sc 0.856 0.644 0.000
Y 0.657 0.843 0.500
Y 0.343 0.157 0.500
Y 0.157 0.657 0.500
Y 0.843 0.343 0.500
Sn 0.500 0.500 0.000
Sn 0.000 0.000 0.000
```

## Properties
energy: -6.126 eV/atom
crystal system: tetragonal
space-group type: P4/mbm (127)
energy of formation from the pure elements: -0.207 eV/atom
spin magnetization: 0.000 μB per formula unit

2.
VASP calculation (GGA-PBE) on a geometry-optimized CsNaAu structure. Values from VASP.

The structure in Quantum ESPRESSO input format:
```
&SYSTEM
  ibrav = 0, nat = 6, ntyp = 3
/
ATOMIC_SPECIES
Na 22.99 Na.upf
Au 196.97 Au.upf
Cs 132.91 Cs.upf
CELL_PARAMETERS angstrom
-3.184 -0.375 -3.490
4.225 0.927 -7.156
1.891 -6.357 5.372
ATOMIC_POSITIONS crystal
Na 0.655 0.052 0.862
Na 0.222 0.052 0.427
Au 0.939 0.250 0.743
Au 0.939 0.854 0.546
Cs 0.438 0.460 0.348
Cs 0.439 0.644 0.940
```

## Properties
energy: -2.052 eV/atom
energy relative to the lowest polymorph listed for this composition: 0.010 eV per atom
crystal system: triclinic
space-group type: P-1 (2)
energy of formation from the pure elements: -0.235 eV/atom
spin magnetization: 0.000 μB per formula unit

3.
VASP calculation (GGA-PBE) on a geometry-optimized Na3Cd4Pb4 structure. Values from VASP.

The structure in Quantum ESPRESSO input format:
```
&SYSTEM
  ibrav = 0, nat = 11, ntyp = 3
/
ATOMIC_SPECIES
Cd 112.41 Cd.upf
Pb 207.20 Pb.upf
Na 22.99 Na.upf
CELL_PARAMETERS angstrom
3.405 -0.004 -0.295
-0.045 4.577 -0.573
-0.147 0.065 19.089
ATOMIC_POSITIONS crystal
Cd 0.270 0.271 0.542
Cd 0.911 0.909 0.815
Cd 0.730 0.729 0.458
Cd 0.089 0.091 0.185
Pb 0.548 0.548 0.099
Pb 0.452 0.452 0.901
Pb 0.185 0.186 0.372
Pb 0.815 0.814 0.628
Na 0.365 0.364 0.725
Na 0.635 0.636 0.275
Na 0.000 0.000 0.000
```

## Properties
energy: -2.105 eV/atom
energy relative to the lowest polymorph listed for this composition: 0.000 eV per atom
crystal system: triclinic
space-group type: P-1 (2)
energy of formation from the pure elements: -0.064 eV/atom
spin magnetization: 0.000 μB per formula unit

4.
VASP calculation (GGA-PBE) on a geometry-optimized NbCdH structure. Values from VASP.

The structure in Quantum ESPRESSO input format:
```
&SYSTEM
  ibrav = 0, nat = 6, ntyp = 3
/
ATOMIC_SPECIES
H 1.01 H.upf
Cd 112.41 Cd.upf
Nb 92.91 Nb.upf
CELL_PARAMETERS angstrom
5.885 -0.048 0.015
3.364 4.829 0.016
-0.859 -0.443 3.006
ATOMIC_POSITIONS crystal
H 0.077 0.243 0.832
H 0.487 0.653 0.243
Cd 0.107 0.624 0.538
Cd 0.627 0.104 0.038
Nb 0.202 0.032 0.289
Nb 0.699 0.528 0.786
```

## Properties
energy: -4.787 eV/atom
energy relative to the lowest polymorph listed for this composition: 0.001 eV per atom
crystal system: orthorhombic
space-group type: Imm2 (44)
spin magnetization: 0.000 μB per formula unit

5.
VASP calculation (GGA-PBE) on a geometry-optimized Hf2BiTeN structure. Values from VASP.

The structure in Quantum ESPRESSO input format:
```
&SYSTEM
  ibrav = 0, nat = 5, ntyp = 4
/
ATOMIC_SPECIES
Te 127.60 Te.upf
Hf 178.49 Hf.upf
N 14.01 N.upf
Bi 208.98 Bi.upf
CELL_PARAMETERS angstrom
4.471 0.000 0.000
0.000 5.387 0.000
0.000 0.000 4.471
ATOMIC_POSITIONS crystal
Te 0.000 0.500 0.000
Hf 0.000 0.000 0.500
Hf 0.500 0.000 0.000
N 0.000 0.000 0.000
Bi 0.500 0.500 0.500
```

## Properties
energy: -7.094 eV/atom
uncorrected formation energy: -0.04 eV/atom
crystal system: tetragonal
space-group type: P4/mmm (123)
spin magnetization: 0.000 μB per formula unit

6.
VASP calculation (GGA-PBE) on a geometry-optimized MoCSe2N structure. Values from VASP.

The structure in Quantum ESPRESSO input format:
```
&SYSTEM
  ibrav = 0, nat = 5, ntyp = 4
/
ATOMIC_SPECIES
Se 78.96 Se.upf
Mo 95.94 Mo.upf
C 12.01 C.upf
N 14.01 N.upf
CELL_PARAMETERS angstrom
-4.283 -1.430 -2.171
1.673 -4.719 -0.192
-1.503 -0.672 3.408
ATOMIC_POSITIONS crystal
Se 0.500 0.000 0.000
Se 0.000 0.500 0.000
Mo 0.000 0.000 0.000
C 0.500 0.500 0.500
N 0.000 0.000 0.500
```

## Properties
energy: -5.562 eV/atom
energy relative to the lowest polymorph listed for this composition: 0.452 eV per atom
uncorrected formation energy: 1.51 eV/atom
crystal system: tetragonal
space-group type: P4/mmm (123)
spin magnetization: 0.757 μB per formula unit

7.
VASP calculation (GGA-PBE) on a geometry-optimized ZnGaIr2 structure. Values from VASP.

The structure in Quantum ESPRESSO input format:
```
&SYSTEM
  ibrav = 0, nat = 4, ntyp = 3
/
ATOMIC_SPECIES
Ir 192.22 Ir.upf
Zn 65.41 Zn.upf
Ga 69.72 Ga.upf
CELL_PARAMETERS angstrom
4.230 0.000 0.000
2.115 3.663 0.000
2.115 1.221 4.115
ATOMIC_POSITIONS crystal
Ir 0.058 0.058 0.826
Ir 0.267 0.267 0.198
Zn 0.486 0.486 0.541
Ga 0.688 0.688 0.935
```

## Properties
energy: -5.495 eV/atom
energy relative to the lowest polymorph listed for this composition: 0.346 eV per atom
crystal system: trigonal
space-group type: R3m (160)
energy of formation from the pure elements: 0.010 eV/atom
spin magnetization: 0.000 μB per formula unit

8.
VASP calculation (GGA-PBE) on a geometry-optimized HoGa2Ni structure. Values from VASP.

The structure in Quantum ESPRESSO input format:
```
&SYSTEM
  ibrav = 0, nat = 32, ntyp = 3
/
ATOMIC_SPECIES
Ga 69.72 Ga.upf
Ni 58.69 Ni.upf
Ho 164.93 Ho.upf
CELL_PARAMETERS angstrom
5.406 0.000 0.000
0.000 6.653 0.000
0.000 0.000 15.370
ATOMIC_POSITIONS crystal
Ga 0.746 0.947 0.035
Ga 0.246 0.053 0.465
Ga 0.530 0.054 0.714
Ga 0.746 0.553 0.035
Ga 0.970 0.446 0.214
Ga 0.470 0.946 0.286
Ga 0.254 0.053 0.965
Ga 0.754 0.947 0.535
Ga 0.470 0.554 0.286
Ga 0.530 0.446 0.714
Ga 0.246 0.447 0.465
Ga 0.970 0.054 0.214
Ga 0.030 0.554 0.786
Ga 0.754 0.553 0.535
Ga 0.030 0.946 0.786
Ga 0.254 0.447 0.965
Ni 0.723 0.750 0.175
Ni 0.504 0.250 0.573
Ni 0.777 0.750 0.675
Ni 0.496 0.750 0.427
Ni 0.996 0.250 0.073
Ni 0.004 0.750 0.927
Ni 0.223 0.250 0.325
Ni 0.277 0.250 0.825
Ho 0.980 0.750 0.356
Ho 0.263 0.750 0.606
Ho 0.737 0.250 0.394
Ho 0.480 0.250 0.144
Ho 0.237 0.750 0.106
Ho 0.763 0.250 0.894
Ho 0.020 0.250 0.644
Ho 0.520 0.750 0.856
```

## Properties
energy: -4.733 eV/atom
crystal system: orthorhombic
space-group type: Pnma (62)
energy of formation from the pure elements: -0.630 eV/atom
spin magnetization: 0.000 μB per formula unit

9.
VASP calculation (GGA-PBE) on a geometry-optimized Al3SiRu structure. Values from VASP.

The structure in Quantum ESPRESSO input format:
```
&SYSTEM
  ibrav = 0, nat = 5, ntyp = 3
/
ATOMIC_SPECIES
Si 28.09 Si.upf
Al 26.98 Al.upf
Ru 101.07 Ru.upf
CELL_PARAMETERS angstrom
-2.853 -1.151 -3.396
-3.392 -0.541 3.033
-1.162 4.402 -0.515
ATOMIC_POSITIONS crystal
Si 0.000 0.000 0.000
Al 0.000 0.500 0.000
Al 0.000 0.000 0.500
Al 0.500 0.000 0.000
Ru 0.500 0.500 0.500
```

## Properties
energy: -4.154 eV/atom
energy relative to the lowest polymorph listed for this composition: 0.695 eV per atom
uncorrected formation energy: 1.03 eV/atom
crystal system: cubic
space-group type: Pm-3m (221)
spin magnetization: 0.000 μB per formula unit

10.
VASP calculation (GGA-PBE) on a geometry-optimized YMn2H8 structure. Values from VASP.

The structure in Quantum ESPRESSO input format:
```
&SYSTEM
  ibrav = 0, nat = 11, ntyp = 3
/
ATOMIC_SPECIES
H 1.01 H.upf
Y 88.91 Y.upf
Mn 54.94 Mn.upf
CELL_PARAMETERS angstrom
3.767 0.000 -1.361
-0.492 3.735 -1.361
-0.080 -0.091 5.672
ATOMIC_POSITIONS crystal
H 0.626 0.066 0.692
H 0.066 0.066 0.692
H 0.066 0.626 0.692
H 0.934 0.374 0.308
H 0.374 0.934 0.308
H 0.626 0.626 0.692
H 0.934 0.934 0.308
H 0.374 0.374 0.308
Y 0.500 0.500 0.000
Mn 0.750 0.250 0.500
Mn 0.250 0.750 0.500
```

## Properties
energy: -4.817 eV/atom
crystal system: tetragonal
space-group type: I4/mmm (139)
spin magnetization: 1.892 μB per formula unit

11.
VASP calculation (GGA-PBE) on a geometry-optimized YZr2AgRh structure. Values from VASP.

The structure in Quantum ESPRESSO input format:
```
&SYSTEM
  ibrav = 0, nat = 5, ntyp = 4
/
ATOMIC_SPECIES
Zr 91.22 Zr.upf
Rh 102.91 Rh.upf
Ag 107.87 Ag.upf
Y 88.91 Y.upf
CELL_PARAMETERS angstrom
4.936 0.000 0.000
0.000 5.231 0.000
0.000 0.000 4.936
ATOMIC_POSITIONS crystal
Zr 0.000 0.000 0.500
Zr 0.500 0.000 0.000
Rh 0.000 0.000 0.000
Ag 0.000 0.500 0.000
Y 0.500 0.500 0.500
```

## Properties
energy: -6.599 eV/atom
crystal system: tetragonal
space-group type: P4/mmm (123)
energy of formation from the pure elements: 0.153 eV/atom
spin magnetization: 0.000 μB per formula unit

12.
VASP calculation (GGA-PBE) on a geometry-optimized RbCa3Zr structure. Values from VASP.

The structure in Quantum ESPRESSO input format:
```
&SYSTEM
  ibrav = 0, nat = 5, ntyp = 3
/
ATOMIC_SPECIES
Ca 40.08 Ca.upf
Zr 91.22 Zr.upf
Rb 85.47 Rb.upf
CELL_PARAMETERS angstrom
6.324 0.000 0.000
0.000 6.324 0.000
0.000 0.000 6.324
ATOMIC_POSITIONS crystal
Ca 0.000 0.500 0.000
Ca 0.500 0.000 0.000
Ca 0.000 0.000 0.500
Zr 0.000 0.000 0.000
Rb 0.500 0.500 0.500
```

## Properties
energy: -2.408 eV/atom
energy relative to the lowest polymorph listed for this composition: 0.000 eV per atom
crystal system: cubic
space-group type: Pm-3m (221)
energy of formation from the pure elements: 0.696 eV/atom
spin magnetization: 3.000 μB per formula unit

13.
VASP calculation (GGA-PBE) on a geometry-optimized HoCrAs2 structure. Values from VASP.

The structure in Quantum ESPRESSO input format:
```
&SYSTEM
  ibrav = 0, nat = 4, ntyp = 3
/
ATOMIC_SPECIES
As 74.92 As.upf
Ho 164.93 Ho.upf
Cr 52.00 Cr.upf
CELL_PARAMETERS angstrom
3.921 0.000 0.000
1.961 3.396 0.000
1.961 1.132 6.009
ATOMIC_POSITIONS crystal
As 0.736 0.736 0.791
As 0.264 0.264 0.209
Ho 0.500 0.500 0.500
Cr 0.000 0.000 0.000
```

## Properties
energy: -6.647 eV/atom
crystal system: trigonal
space-group type: R-3m (166)
energy of formation from the pure elements: -0.772 eV/atom
spin magnetization: 2.803 μB per formula unit

14.
VASP calculation (GGA-PBE) on a geometry-optimized TbDy3Ir8 structure. Values from VASP.

The structure in Quantum ESPRESSO input format:
```
&SYSTEM
  ibrav = 0, nat = 12, ntyp = 3
/
ATOMIC_SPECIES
Ir 192.22 Ir.upf
Dy 162.50 Dy.upf
Tb 158.93 Tb.upf
CELL_PARAMETERS angstrom
5.364 0.000 0.000
2.682 4.645 0.000
2.682 1.548 8.750
ATOMIC_POSITIONS crystal
Ir 0.187 0.187 0.438
Ir 0.688 0.688 0.937
Ir 0.438 0.438 0.187
Ir 0.437 0.937 0.688
Ir 0.937 0.437 0.688
Ir 0.938 0.438 0.187
Ir 0.937 0.937 0.688
Ir 0.438 0.938 0.187
Dy 0.375 0.375 0.875
Dy 0.500 0.500 0.500
Dy 0.000 0.000 0.000
Tb 0.875 0.875 0.375
```

## Properties
energy: -8.254 eV/atom
crystal system: trigonal
space-group type: R3m (160)
energy of formation from the pure elements: -0.811 eV/atom
spin magnetization: 0.000 μB per formula unit

15.
VASP calculation (GGA-PBE) on a geometry-optimized Ca2InPt2 structure. Values from VASP.

The structure in Quantum ESPRESSO input format:
```
&SYSTEM
  ibrav = 0, nat = 5, ntyp = 3
/
ATOMIC_SPECIES
In 114.82 In.upf
Ca 40.08 Ca.upf
Pt 195.08 Pt.upf
CELL_PARAMETERS angstrom
4.706 0.000 0.000
0.000 4.706 0.000
2.353 2.353 5.863
ATOMIC_POSITIONS crystal
In 0.000 0.000 0.000
Ca 0.750 0.250 0.500
Ca 0.250 0.750 0.500
Pt 0.390 0.390 0.220
Pt 0.610 0.610 0.780
```

## Properties
energy: -4.195 eV/atom
crystal system: tetragonal
space-group type: I4/mmm (139)
energy of formation from the pure elements: -0.430 eV/atom
spin magnetization: 0.000 μB per formula unit

16.
VASP calculation (GGA-PBE) on a geometry-optimized BaIr2Pb structure. Values from VASP.

The structure in Quantum ESPRESSO input format:
```
&SYSTEM
  ibrav = 0, nat = 4, ntyp = 3
/
ATOMIC_SPECIES
Ir 192.22 Ir.upf
Pb 207.20 Pb.upf
Ba 137.33 Ba.upf
CELL_PARAMETERS angstrom
-0.025 3.055 -1.477
0.847 -1.425 -2.961
-7.601 -0.903 -1.740
ATOMIC_POSITIONS crystal
Ir 0.000 0.000 0.448
Ir 0.000 0.000 0.052
Pb 0.500 0.500 0.250
Ba 0.500 0.500 0.750
```

## Properties
energy: -5.397 eV/atom
energy relative to the lowest polymorph listed for this composition: 0.584 eV per atom
crystal system: tetragonal
space-group type: P4/mmm (123)
energy of formation from the pure elements: 0.441 eV/atom
spin magnetization: 0.000 μB per formula unit

17.
VASP calculation (GGA-PBE) on a geometry-optimized LaFeTc2 structure. Values from VASP.

The structure in Quantum ESPRESSO input format:
```
&SYSTEM
  ibrav = 0, nat = 4, ntyp = 3
/
ATOMIC_SPECIES
Tc 98.00 Tc.upf
La 138.91 La.upf
Fe 55.84 Fe.upf
CELL_PARAMETERS angstrom
3.132 0.000 0.000
0.000 3.104 0.409
0.000 2.132 7.744
ATOMIC_POSITIONS crystal
Tc 0.500 0.249 0.251
Tc 0.000 0.934 0.066
La 0.500 0.754 0.746
Fe 0.000 0.563 0.437
```

## Properties
energy: -8.277 eV/atom
energy relative to the lowest polymorph listed for this composition: 0.054 eV per atom
crystal system: tetragonal
space-group type: P4mm (99)
energy of formation from the pure elements: 0.254 eV/atom
spin magnetization: 2.524 μB per formula unit

18.
VASP calculation (GGA-PBE) on a geometry-optimized TlC3O structure. Values from VASP.

The structure in Quantum ESPRESSO input format:
```
&SYSTEM
  ibrav = 0, nat = 5, ntyp = 3
/
ATOMIC_SPECIES
O 16.00 O.upf
C 12.01 C.upf
Tl 204.38 Tl.upf
CELL_PARAMETERS angstrom
3.853 0.000 0.000
0.000 3.853 0.000
0.000 0.000 3.853
ATOMIC_POSITIONS crystal
O 0.000 0.000 0.000
C 0.500 0.000 0.000
C 0.000 0.000 0.500
C 0.000 0.500 0.000
Tl 0.500 0.500 0.500
```

## Properties
energy: -3.957 eV/atom
energy relative to the lowest polymorph listed for this composition: 0.000 eV per atom
uncorrected formation energy: 3.04 eV/atom
crystal system: cubic
space-group type: Pm-3m (221)
spin magnetization: 0.000 μB per formula unit

19.
VASP calculation (GGA-PBE) on a geometry-optimized CeErGeAu structure. Values from VASP.

The structure in Quantum ESPRESSO input format:
```
&SYSTEM
  ibrav = 0, nat = 4, ntyp = 4
/
ATOMIC_SPECIES
Er 167.26 Er.upf
Ce 140.12 Ce.upf
Ge 72.64 Ge.upf
Au 196.97 Au.upf
CELL_PARAMETERS angstrom
-0.873 1.388 4.860
-4.051 -1.887 2.518
0.687 -3.381 3.795
ATOMIC_POSITIONS crystal
Er 0.000 0.000 0.000
Ce 0.500 0.500 0.500
Ge 0.250 0.250 0.250
Au 0.750 0.750 0.750
```

## Properties
energy: -5.262 eV/atom
crystal system: cubic
space-group type: F-43m (216)
energy of formation from the pure elements: -0.664 eV/atom
spin magnetization: 1.603 μB per formula unit

20.
VASP calculation (GGA-PBE) on a geometry-optimized Zn2TcCl structure. Values from VASP.

The structure in Quantum ESPRESSO input format:
```
&SYSTEM
  ibrav = 0, nat = 4, ntyp = 3
/
ATOMIC_SPECIES
Cl 35.45 Cl.upf
Tc 98.00 Tc.upf
Zn 65.41 Zn.upf
CELL_PARAMETERS angstrom
5.183 0.022 0.000
2.312 4.639 0.000
-3.748 -2.331 2.719
ATOMIC_POSITIONS crystal
Cl 0.500 0.500 0.000
Tc 0.750 0.250 0.500
Zn 0.000 0.000 0.000
Zn 0.250 0.750 0.500
```

## Properties
energy: -3.178 eV/atom
energy relative to the lowest polymorph listed for this composition: 0.471 eV per atom
uncorrected formation energy: 0.51 eV/atom
crystal system: tetragonal
space-group type: I-4m2 (119)
spin magnetization: 1.724 μB per formula unit